No. 1
Pm5ScPb4 | PBE-GGA | optimized geometry

a b c (Å): 3.7501 9.6300 9.8691
angles (deg): 104.89 100.95 90.00
With the nearest neighbours (Å) after each atom.
Sites, in units of the cell vectors:
Pm 0.8272 0.6324 0.6545  3 Pb 3.22-3.27
Pm 0.8310 0.1904 0.6620  4 Pb 3.17-3.27
Pm 0.1690 0.8096 0.3380  4 Pb 3.17-3.27
Pm 0.5000 0.5000 0.0000  4 Pb 3.13
Pm 0.1728 0.3676 0.3455  3 Pb 3.22-3.27
Sc 0.5000 0.0000 0.0000  6 Pb 2.97-3.03
Pb 0.3382 0.9160 0.6764  1 Sc 3.03, 5 Pm 3.17-3.27
Pb 0.9983 0.7597 0.9966  2 Sc 2.97, 4 Pm 3.13-3.22
Pb 0.6618 0.0840 0.3236  1 Sc 3.03, 5 Pm 3.17-3.27
Pb 0.0017 0.2403 0.0034  2 Sc 2.97, 4 Pm 3.13-3.22

Fermi-level density of states ... 9.142 states/eV per cell
SG ... C2/m
M_tot ... 0.0 μB per formula unit
Energy of formation from the pure elements ... -0.184 eV/atom
Calculated total energy ... -4.675 eV/atom

***

No. 2
Ge2Pd2Au | PBE-GGA | optimized geometry

a b c (Å): 4.2858 4.2858 5.7722
angles (deg): 68.21 68.21 90.00
With the nearest neighbours (Å) after each atom.
Sites, in units of the cell vectors:
Ge 0.3799 0.3799 0.2402  1 Ge 2.36, 4 Pd 2.49
Ge 0.6201 0.6201 0.7598  1 Ge 2.36, 4 Pd 2.49
Au 0.0000 0.0000 0.0000  8 Ge 3.25, 8 Pd 3.26
Pd 0.7500 0.2500 0.5000  4 Ge 2.49
Pd 0.2500 0.7500 0.5000  4 Ge 2.49

ΔE to the lowest computed polymorph ... 82 meV per atom
Fermi-level density of states ... 1.612 states/eV per cell
SG ... I4/mmm
M_tot ... 0.0 μB per formula unit
Energy of formation from the pure elements ... -0.128 eV/atom
Calculated total energy ... -4.708 eV/atom

***

No. 3
CePr2CrN4 | PBE-GGA | optimized geometry

a b c (Å): 3.4796 6.1565 12.2967
angles (deg): 90.00 90.00 106.42
With the nearest neighbours (Å) after each atom.
Sites, in units of the cell vectors:
Ce 0.1020 0.2040 0.7500  6 N 2.63-2.78
Ce 0.8980 0.7960 0.2500  6 N 2.63-2.78
Pr 0.3671 0.7342 0.5442  4 N 2.41-2.60
Pr 0.6329 0.2658 0.0442  4 N 2.41-2.60
Pr 0.6329 0.2658 0.4558  4 N 2.41-2.60
Pr 0.3671 0.7342 0.9558  4 N 2.41-2.60
Cr 0.8315 0.6630 0.7500  4 N 1.85-2.02
Cr 0.1685 0.3370 0.2500  4 N 1.85-2.02
N 0.2761 0.5522 0.1408  1 Cr 1.85
N 0.7239 0.4478 0.6408  1 Cr 1.85
N 0.7239 0.4478 0.8592  1 Cr 1.85
N 0.2761 0.5522 0.3592  1 Cr 1.85
N 0.0000 0.0000 0.5000  4 Pr 2.41
N 0.0000 0.0000 0.0000  4 Pr 2.41
N 0.4181 0.8362 0.7500  2 Cr 2.02
N 0.5819 0.1638 0.2500  2 Cr 2.02

Energy relative to the elements, uncorrected ... -1.0014 eV per atom
Fermi-level density of states ... 12.731 states/eV per cell
SG ... Cmcm
M_tot ... 3.0 μB per formula unit
Calculated total energy ... -8.304 eV/atom